This record from Alexandria via LeMat-Bulk describes an optimized crystal structure of La5TbTm3. The functional is PBE-GGA.

a b c (Å): 18.969 6.558 11.506
angles (deg): 90.00 116.05 90.00
Space group C2/c (No. 15)
One atom of each set of equivalent atoms:
La 0.000 0.099 0.250 x4
La 0.166 0.195 0.712 x8
La 0.173 0.327 0.359 x8
Tb 0.000 0.370 0.750 x4
Tm 0.000 0.500 0.000 x4
Tm 0.159 0.213 0.014 x8

Values from the calculation:
calculated total energy = -161.81 eV per cell

=====

This record from Alexandria via LeMat-Bulk describes an optimized crystal structure of Cd2NiCl. The functional is PBE-GGA.

a b c (Å): 3.159 3.159 7.604
angles (deg): 90.00 90.00 90.00
Space group P4/mmm (No. 123)
One atom of each set of equivalent atoms:
Cd 0.000 0.000 0.213 x2
Ni 0.500 0.500 0.000 x1
Cl 0.500 0.500 0.500 x1

Values from the calculation:
E_form (uncorrected) = -3.03 kcal/mol of atoms
polymorph energy (0 for the lowest one) = 51 meV/atom
calculated total energy = -9.98 eV per cell

=====

This record from Alexandria via LeMat-Bulk describes an optimized crystal structure of WAuCl2. The functional is PBE-GGA.

a b c (Å): 4.773 4.773 3.236
angles (deg): 90.00 90.00 90.00
Space group P4/mmm (No. 123)
One atom of each set of equivalent atoms:
W 0.000 0.000 0.000 x1
Au 0.500 0.500 0.000 x1
Cl 0.000 0.500 0.500 x2

Values from the calculation:
E_form (uncorrected) = 25.89 kcal/mol of atoms
polymorph energy (0 for the lowest one) = 1185 meV/atom
calculated total energy = -15.43 eV per cell

=====

This record from Alexandria via LeMat-Bulk describes an optimized crystal structure of Tb2NbSi2Ru5. The functional is PBE-GGA.

a b c (Å): 10.089 10.089 3.241
angles (deg): 90.00 90.00 90.00
Space group P4/mbm (No. 127)
One atom of each set of equivalent atoms:
Tb 0.173 0.327 0.000 x4
Nb 0.000 0.000 0.000 x2
Si 0.126 0.626 0.000 x4
Ru 0.000 0.500 0.500 x2
Ru 0.067 0.792 0.500 x8

Values from the calculation:
E_form (uncorrected) = -14.72 kcal/mol of atoms
calculated total energy = -165.88 eV per cell

=====

This record from Alexandria via LeMat-Bulk describes an optimized crystal structure of KLaCrN3. The functional is PBE-GGA.

a b c (Å): 13.798 3.775 7.996
angles (deg): 90.00 105.29 90.00
Space group C2/m (No. 12)
One atom of each set of equivalent atoms:
K 0.130 0.000 0.068 x4
La 0.162 0.000 0.605 x4
Cr 0.011 0.500 0.332 x4
N 0.014 0.000 0.351 x4
N 0.117 0.500 0.792 x4
N 0.148 0.500 0.355 x4

Values from the calculation:
E_form (uncorrected) = -10.65 kcal/mol of atoms
calculated total energy = -173.58 eV per cell

=====

This record from Alexandria via LeMat-Bulk describes an optimized crystal structure of Y4AsHC2. The functional is PBE-GGA.

a b c (Å): 3.767 12.204 12.661
angles (deg): 90.00 90.00 90.00
Space group Cmcm (No. 63)
One atom of each set of equivalent atoms:
Y 0.000 0.000 0.000 x4
Y 0.000 0.264 0.108 x8
Y 0.000 0.434 0.750 x4
As 0.000 0.113 0.750 x4
H 0.000 0.156 0.250 x4
C 0.000 0.366 0.560 x8

Values from the calculation:
calculated total energy = -232.27 eV per cell

=====

This record from Alexandria via LeMat-Bulk describes an optimized crystal structure of PuZnNi2H. The functional is PBE-GGA.

a b c (Å): 2.846 11.457 7.893
angles (deg): 90.00 90.00 90.00
Space group Cmcm (No. 63)
One atom of each set of equivalent atoms:
Pu 0.000 0.020 0.250 x4
Zn 0.000 0.242 0.750 x4
Ni 0.000 0.345 0.025 x8
H 0.000 0.500 0.000 x4

Values from the calculation:
calculated total energy = -125.44 eV per cell

=====

This record from Alexandria via LeMat-Bulk describes an optimized crystal structure of RbHg2Pd. The functional is PBE-GGA.

a b c (Å): 11.994 11.994 11.994
angles (deg): 90.00 90.00 90.00
Space group Fd-3m (No. 227, origin choice 2)
One atom of each set of equivalent atoms:
Rb 0.125 0.125 0.125 x8
Hg 0.000 0.000 0.500 x16
Pd 0.125 0.125 0.625 x8

Values from the calculation:
polymorph energy (0 for the lowest one) = 262 meV/atom
calculated total energy = -52.19 eV per cell

=====

This record from Alexandria via LeMat-Bulk describes an optimized crystal structure of Si2AsCl. The functional is PBE-GGA.

a b c (Å): 3.6787 3.6787 23.6922
angles (deg): 90.00 90.00 120.00
Space group R3m (No. 160, hexagonal axes)
One atom of each set of equivalent atoms:
Si 0.0000 0.0000 0.0000 x3
Si 0.0000 0.0000 0.2736 x3
As 0.0000 0.0000 0.5548 x3
Cl 0.0000 0.0000 0.7318 x3

Values from the calculation:
E_form (uncorrected) = -0.39 kcal/mol of atoms
polymorph energy (0 for the lowest one) = 34 meV/atom
calculated total energy = -52.23 eV per cell

=====

This record from Alexandria via LeMat-Bulk describes an optimized crystal structure of Hf2Ti2In. The functional is PBE-GGA.

a b c (Å): 7.569 7.569 3.643
angles (deg): 90.00 90.00 90.00
Space group P4/mbm (No. 127)
One atom of each set of equivalent atoms:
Hf 0.135 0.365 0.000 x4
Ti 0.160 0.660 0.500 x4
In 0.000 0.000 0.000 x2

Values from the calculation:
polymorph energy (0 for the lowest one) = 166 meV/atom
calculated total energy = -75.38 eV per cell

=====

This record from Alexandria via LeMat-Bulk describes an optimized crystal structure of La6ScIn. The functional is PBE-GGA.

a b c (Å): 5.091 5.091 10.242
angles (deg): 90.00 90.00 90.00
Space group P4/mmm (No. 123)
One atom of each set of equivalent atoms:
La 0.000 0.000 0.000 x1
La 0.000 0.000 0.500 x1
La 0.000 0.500 0.249 x4
Sc 0.500 0.500 0.500 x1
In 0.500 0.500 0.000 x1

Values from the calculation:
calculated total energy = -39.58 eV per cell

=====

This record from Alexandria via LeMat-Bulk describes an optimized crystal structure of WBrCl2. The functional is PBE-GGA.

a b c (Å): 5.153 5.153 3.018
angles (deg): 90.00 90.00 90.00
Space group P4/mmm (No. 123)
One atom of each set of equivalent atoms:
W 0.000 0.000 0.000 x1
Br 0.500 0.500 0.000 x1
Cl 0.000 0.500 0.500 x2

Values from the calculation:
E_form (uncorrected) = 27.00 kcal/mol of atoms
polymorph energy (0 for the lowest one) = 1518 meV/atom
calculated total energy = -13.64 eV per cell

=====

This record from Alexandria via LeMat-Bulk describes an optimized crystal structure of BeIr2Rh. The functional is PBE-GGA.

a b c (Å): 5.204 8.929 2.702
angles (deg): 90.00 118.95 90.00
Space group C2/m (No. 12)
One atom of each set of equivalent atoms:
Be 0.000 0.000 0.000 x2
Ir 0.250 0.250 0.500 x4
Rh 0.000 0.500 0.000 x2

Values from the calculation:
calculated total energy = -56.61 eV per cell

=====

This record from Alexandria via LeMat-Bulk describes an optimized crystal structure of Pr9Dy2Er3. The functional is PBE-GGA.

a b c (Å): 9.1891 9.1891 13.7089
angles (deg): 90.00 90.00 120.00
Space group P6_3/m (No. 176)
One atom of each set of equivalent atoms:
Pr 0.0779 0.4818 0.2500 x6
Pr 0.1305 0.7267 0.0378 x12
Dy 0.3333 0.6667 0.6427 x4
Er 0.0796 0.2505 0.7500 x6

Values from the calculation:
calculated total energy = -125.11 eV per cell

=====

This record from Alexandria via LeMat-Bulk describes an optimized crystal structure of ReC2. The functional is PBE-GGA.

a b c (Å): 4.998 4.998 4.998
angles (deg): 90.00 90.00 90.00
Space group Fm-3m (No. 225)
One atom of each set of equivalent atoms:
Re 0.000 0.000 0.000 x4
C 0.250 0.250 0.250 x8

Values from the calculation:
polymorph energy (0 for the lowest one) = 1412 meV/atom
calculated total energy = -101.36 eV per cell

=====

This record from Alexandria via LeMat-Bulk describes an optimized crystal structure of Sr2MgCd4In3. The functional is PBE-GGA.

a b c (Å): 4.747 4.747 12.431
angles (deg): 90.00 90.00 90.00
Space group P-4m2 (No. 115)
One atom of each set of equivalent atoms:
Sr 0.000 0.500 0.245 x2
Mg 0.000 0.000 0.500 x1
Cd 0.000 0.000 0.000 x1
Cd 0.000 0.500 0.636 x2
Cd 0.500 0.500 0.000 x1
In 0.000 0.500 0.863 x2
In 0.500 0.500 0.500 x1

Values from the calculation:
calculated total energy = -19.55 eV per cell

=====

This record from Alexandria via LeMat-Bulk describes an optimized crystal structure of MoPN3. The functional is PBE-GGA.

a b c (Å): 3.940 3.940 3.940
angles (deg): 90.00 90.00 90.00
Space group Pm-3m (No. 221)
One atom of each set of equivalent atoms:
Mo 0.000 0.000 0.000 x1
P 0.500 0.500 0.500 x1
N 0.000 0.000 0.500 x3

Values from the calculation:
E_form (uncorrected) = 28.92 kcal/mol of atoms
calculated total energy = -34.95 eV per cell

=====

This record from Alexandria via LeMat-Bulk describes an optimized crystal structure of BPd. The functional is PBE-GGA.

a b c (Å): 5.779 3.432 2.669
angles (deg): 90.00 115.73 90.00
Space group Cm (No. 8)
One atom of each set of equivalent atoms:
B 0.000 0.000 0.000 x2
Pd 0.090 0.500 0.590 x2

Values from the calculation:
calculated total energy = -22.27 eV per cell

=====

This record from Alexandria via LeMat-Bulk describes an optimized crystal structure of KRb2UI8. The functional is PBE-GGA.

a b c (Å): 7.480 8.639 10.824
angles (deg): 89.96 89.48 83.08
Space group P-1 (No. 2)
One atom of each set of equivalent atoms:
K 0.000 0.000 0.000 x1
Rb 0.496 0.505 0.238 x2
U 0.000 0.000 0.500 x1
I 0.135 0.196 0.692 x2
I 0.143 0.190 0.306 x2
I 0.342 0.791 0.503 x2
I 0.397 0.770 0.997 x2

Values from the calculation:
E_form (uncorrected) = -24.62 kcal/mol of atoms
calculated total energy = -39.53 eV per cell

=====

This record from Alexandria via LeMat-Bulk describes an optimized crystal structure of CrWSe. The functional is PBE-GGA.

a b c (Å): 5.911 5.911 5.911
angles (deg): 90.00 90.00 90.00
Space group F-43m (No. 216)
One atom of each set of equivalent atoms:
Cr 0.000 0.000 0.000 x4
W 0.250 0.250 0.250 x4
Se 0.000 0.000 0.500 x4

Values from the calculation:
E_form (uncorrected) = 16.93 kcal/mol of atoms
polymorph energy (0 for the lowest one) = 353 meV/atom
calculated total energy = -95.43 eV per cell